The following is a DFT calculation (PBE) of a relaxed structure of GaSi2Br.

Properties
The volume comes out at 27.07 Å³ per atom. Its formation energy (no corrections) is 0.60 eV per atom.

a b c (Å): 6.024 6.024 7.331
angles (deg): 65.74 65.74 90.00
Sites, in units of the cell vectors:
Si  0.570  0.125  0.250
Si  0.180  0.625  0.250
Si  0.375  0.430  0.750
Si  0.875  0.820  0.750
Ga  0.500  0.500  0.000
Ga  0.250  0.750  0.500
Br  0.000  0.000  0.000
Br  0.750  0.250  0.500